Entry from the Alexandria database: a geometry-optimized Pr2TmRh structure (GGA-PBE).

Computed properties:
For the energy relative to the elements, the calculation gives -32 meV/atom. For the magnetic moment, the calculation gives 0.00 μB/f.u. The energy above the most stable polymorph in this dataset is 192.7 meV per atom. The value obtained for the raw total energy is -21.5 eV per cell. As for the space group: No. 166.

Cell lengths 3.717, 3.717, 10.887 Å; angles 80.17, 80.17, 60.00 degrees
Fractional coordinates of all 4 atoms:
Rh1 0.500 0.500 0.500
Pr1 0.891 0.891 0.326
Pr2 0.109 0.109 0.674
Tm1 0.000 0.000 0.000



Entry from the Alexandria database: a geometry-optimized Pr3TmRh8 structure (GGA-PBE).

Computed properties:
For the energy relative to the elements, the calculation gives -661 meV/atom. For the magnetic moment, the calculation gives 0.00 μB/f.u. The value obtained for the raw total energy is -85.6 eV per cell. As for the space group: No. 160.

Cell lengths 5.404, 5.404, 9.370 Å; angles 73.24, 73.24, 60.00 degrees
Fractional coordinates of all 12 atoms:
Pr1 0.999 0.999 0.002
Pr2 0.375 0.375 0.874
Pr3 0.501 0.501 0.498
Rh1 0.938 0.440 0.683
Rh2 0.440 0.938 0.683
Rh3 0.938 0.938 0.683
Rh4 0.437 0.437 0.191
Rh5 0.687 0.687 0.938
Rh6 0.437 0.936 0.191
Rh7 0.936 0.437 0.191
Tm1 0.874 0.874 0.377
Rh8 0.188 0.188 0.437



Entry from the Alexandria database: a geometry-optimized PrURh structure (GGA-PBE).

Computed properties:
For the energy relative to the elements, the calculation gives -39 meV/atom. For the magnetic moment, the calculation gives 2.45 μB/f.u. The value obtained for the raw total energy is -94.1 eV per cell. As for the space group: No. 70.

Cell lengths 6.044, 7.003, 8.273 Å; angles 80.93, 68.57, 64.43 degrees
Site moments in Bohr magnetons follow the coordinates.
Fractional coordinates of all 12 atoms:
U1 0.180 0.000 0.641  2.08
Pr1 0.150 0.500 0.701  0.14
Pr2 0.400 0.000 0.201  0.14
Rh1 0.856 0.288 0.500  -0.12
Pr3 0.350 0.500 0.299  0.14
Pr4 0.600 0.000 0.799  0.14
U2 0.930 0.500 0.141  2.08
Rh2 0.894 0.212 0.000  -0.12
U3 0.820 0.000 0.359  2.08
U4 0.570 0.500 0.859  2.08
Rh3 0.106 0.788 0.000  -0.12
Rh4 0.644 0.712 0.500  -0.12



Entry from the Alexandria database: a geometry-optimized Pr2UZnRh6 structure (GGA-PBE).

Computed properties:
For the energy relative to the elements, the calculation gives -365 meV/atom. For the magnetic moment, the calculation gives 0.00 μB/f.u. The value obtained for the raw total energy is -69.9 eV per cell. As for the space group: No. 12.

Cell lengths 8.065, 5.869, 5.866 Å; angles 60.02, 68.66, 89.97 degrees
Fractional coordinates of all 10 atoms:
Rh1 0.743 0.244 0.006
Rh2 0.257 0.251 0.499
Rh3 0.256 0.250 0.995
U1 0.500 0.500 0.000
Rh4 0.743 0.749 0.501
Rh5 0.257 0.756 0.994
Pr1 0.345 0.782 0.436
Rh6 0.744 0.750 0.005
Zn1 0.000 0.000 0.000
Pr2 0.655 0.218 0.564



Entry from the Alexandria database: a geometry-optimized Pr4Y3Rh4 structure (GGA-PBE).

Computed properties:
For the energy relative to the elements, the calculation gives -485 meV/atom. For the magnetic moment, the calculation gives 0.00 μB/f.u. The value obtained for the raw total energy is -73.2 eV per cell. As for the space group: No. 71.

Cell lengths 3.720, 9.056, 9.657 Å; angles 117.96, 101.10, 90.00 degrees
Fractional coordinates of all 11 atoms:
Pr1 0.663 0.850 0.327
Rh1 0.500 0.217 0.000
Pr2 0.337 0.523 0.673
Rh2 0.264 0.764 0.527
Rh3 0.500 0.783 0.000
Y1 0.000 0.500 0.000
Y2 0.098 0.098 0.196
Pr3 0.663 0.477 0.327
Rh4 0.736 0.236 0.473
Y3 0.902 0.902 0.804
Pr4 0.337 0.150 0.673



Entry from the Alexandria database: a geometry-optimized Pr2YRh structure (GGA-PBE).

Computed properties:
For the energy relative to the elements, the calculation gives -58 meV/atom. For the magnetic moment, the calculation gives 0.06 μB/f.u. The energy above the most stable polymorph in this dataset is 373.1 meV per atom. The value obtained for the raw total energy is -23.6 eV per cell. As for the space group: No. 166.

Cell lengths 3.752, 3.752, 10.939 Å; angles 80.12, 80.12, 60.00 degrees
Fractional coordinates of all 4 atoms:
Pr1 0.890 0.890 0.329
Rh1 0.500 0.500 0.500
Y1 0.000 0.000 0.000
Pr2 0.110 0.110 0.671



Entry from the Alexandria database: a geometry-optimized PrYRh2 structure (GGA-PBE).

Computed properties:
For the energy relative to the elements, the calculation gives -699 meV/atom. For the magnetic moment, the calculation gives 0.00 μB/f.u. The value obtained for the raw total energy is -28.7 eV per cell. As for the space group: No. 123.

Cell lengths 3.538, 4.935, 4.935 Å; angles 90.00, 90.00, 90.00 degrees
Fractional coordinates of all 4 atoms:
Rh1 0.000 0.500 0.000
Rh2 0.000 0.000 0.500
Pr1 0.500 0.500 0.500
Y1 0.500 0.000 0.000



Entry from the Alexandria database: a geometry-optimized Pr2YRh structure (GGA-PBE).

Computed properties:
For the energy relative to the elements, the calculation gives -347 meV/atom. For the magnetic moment, the calculation gives 0.00 μB/f.u. The energy above the most stable polymorph in this dataset is 83.8 meV per atom. The value obtained for the raw total energy is -99.1 eV per cell. As for the space group: No. 52.

Cell lengths 6.486, 6.771, 11.646 Å; angles 90.00, 90.00, 90.00 degrees
Fractional coordinates of all 16 atoms:
Y1 0.250 0.573 0.250
Y2 0.250 0.073 0.750
Pr1 0.256 0.090 0.413
Pr2 0.756 0.910 0.913
Rh1 0.000 0.250 0.589
Pr3 0.744 0.410 0.413
Y3 0.750 0.427 0.750
Pr4 0.256 0.590 0.587
Rh2 0.500 0.250 0.911
Pr5 0.744 0.910 0.587
Pr6 0.756 0.410 0.087
Y4 0.750 0.927 0.250
Rh3 0.500 0.750 0.089
Rh4 0.000 0.750 0.411
Pr7 0.244 0.090 0.087
Pr8 0.244 0.590 0.913



Entry from the Alexandria database: a geometry-optimized Pr2YRh3 structure (GGA-PBE).

Computed properties:
For the energy relative to the elements, the calculation gives -501 meV/atom. For the magnetic moment, the calculation gives 0.00 μB/f.u. The energy above the most stable polymorph in this dataset is 159.1 meV per atom. The value obtained for the raw total energy is -41.1 eV per cell. As for the space group: No. 71.

Cell lengths 4.166, 5.770, 6.979 Å; angles 114.42, 107.37, 90.00 degrees
Fractional coordinates of all 6 atoms:
Rh1 0.656 0.656 0.313
Pr1 0.669 0.169 0.338
Rh2 0.000 0.000 0.000
Rh3 0.344 0.344 0.687
Y1 0.000 0.500 0.000
Pr2 0.331 0.831 0.662



Entry from the Alexandria database: a geometry-optimized PrYRh structure (GGA-PBE).

Computed properties:
For the energy relative to the elements, the calculation gives -492 meV/atom. For the magnetic moment, the calculation gives 0.00 μB/f.u. The energy above the most stable polymorph in this dataset is 0.0 meV per atom. The value obtained for the raw total energy is -40.1 eV per cell. As for the space group: No. 11.

Cell lengths 4.513, 5.887, 6.662 Å; angles 106.39, 90.00, 90.00 degrees
Fractional coordinates of all 6 atoms:
Pr1 0.752 0.574 0.287
Y1 0.252 0.029 0.205
Rh1 0.252 0.842 0.552
Rh2 0.752 0.165 0.451
Y2 0.752 0.979 0.798
Pr2 0.252 0.434 0.717



Entry from the Alexandria database: a geometry-optimized PrYRh structure (GGA-PBE).

Computed properties:
For the energy relative to the elements, the calculation gives -473 meV/atom. For the magnetic moment, the calculation gives 0.00 μB/f.u. The energy above the most stable polymorph in this dataset is 19.3 meV per atom. The value obtained for the raw total energy is -20.0 eV per cell. As for the space group: No. 216.

Cell lengths 4.914, 4.914, 4.914 Å; angles 60.00, 60.00, 60.00 degrees
Fractional coordinates of all 3 atoms:
Rh1 0.250 0.250 0.250
Pr1 0.500 0.500 0.500
Y1 0.000 0.000 0.000



Entry from the Alexandria database: a geometry-optimized PrY3Rh structure (GGA-PBE).

Computed properties:
For the energy relative to the elements, the calculation gives -260 meV/atom. For the magnetic moment, the calculation gives 0.00 μB/f.u. The energy above the most stable polymorph in this dataset is 28.9 meV per atom. The value obtained for the raw total energy is -32.8 eV per cell. As for the space group: No. 221.

Cell lengths 5.451, 5.451, 5.451 Å; angles 90.00, 90.00, 90.00 degrees
Fractional coordinates of all 5 atoms:
Rh1 0.000 0.000 0.000
Y1 0.000 0.000 0.500
Pr1 0.500 0.500 0.500
Y2 0.500 0.000 0.000
Y3 0.000 0.500 0.000



Which of these has the lowest raw total energy? number 8